A relaxed structure of Ir2C. Source: the Alexandria database, functional GGA-PBE.

Unit cell a=3.4336 b=3.4336 c=7.5447 alpha=90.00 beta=90.00 gamma=120.00
Closest atoms and distances in Å follow each position.
Positions (direct):
Ir  0.0000  0.0000  0.0000  6 Ir 2.74, 6 C 2.74
Ir  0.0000  0.0000  0.5000  6 Ir 2.74, 6 C 2.74
Ir  0.3333  0.6667  0.2500  3 C 1.98
Ir  0.6667  0.3333  0.7500  3 C 1.98
C  0.3333  0.6667  0.7500  3 Ir 1.98
C  0.6667  0.3333  0.2500  3 Ir 1.98

The formation energy is 2.86 eV/f.u. The calculation puts the size of the total moment at 0.0 μB per formula unit. The energy above the most stable polymorph in this dataset comes out at 0.397 eV per atom. The raw total energy is -8.027 eV/atom.